# 1
K3Nb2N4: relaxed, GGA-PBE.

## Properties
E_tot in eV per atom: -6.8840
Raw formation energy in meV/atom: -580

Unit cell a=6.4905 b=7.6110 c=7.6110 alpha=82.93 beta=90.82 gamma=90.82
Each line ends with the local moment (μB).
Atoms (fractional coordinates):
K: 0.0479 0.9053 0.3000  0.00
N: 0.3144 0.2735 0.2215  -0.01
N: 0.0043 0.6060 0.1358  0.00
Nb: 0.9633 0.6524 0.8681  0.12
K: 0.9521 0.0947 0.7000  0.00
N: 0.1856 0.7785 0.7265  -0.01
Nb: 0.5367 0.1319 0.3476  0.12
N: 0.5043 0.1358 0.6060  0.00
N: 0.8144 0.2215 0.2735  -0.01
K: 0.5479 0.3000 0.9053  0.00
K: 0.4521 0.7000 0.0947  0.00
N: 0.6856 0.7265 0.7785  -0.01
K: 0.7500 0.5485 0.4515  0.00
N: 0.4957 0.8642 0.3940  0.00
Nb: 0.4633 0.8681 0.6524  0.12
N: 0.9957 0.3940 0.8642  0.00
Nb: 0.0367 0.3476 0.1319  0.12
K: 0.2500 0.4515 0.5485  0.00



# 2
TbCu4Si3: relaxed, GGA-PBE.

## Properties
E_tot in eV per atom: -5.0253
Raw formation energy in meV/atom: -365

Unit cell a=4.0242 b=4.0242 c=7.5211 alpha=90.00 beta=90.00 gamma=90.00
Atoms (fractional coordinates):
Cu: 0.0000 0.5000 0.8246
Cu: 0.5000 0.0000 0.1754
Si: 0.5000 0.5000 0.3452
Cu: 0.5000 0.0000 0.8246
Si: 0.5000 0.5000 0.6548
Si: 0.0000 0.0000 0.0000
Cu: 0.0000 0.5000 0.1754
Tb: 0.0000 0.0000 0.5000



# 3
ScGaSi2: relaxed, GGA-PBE.

## Properties
E_tot in eV per atom: -5.3399
Raw formation energy in meV/atom: -289

Unit cell a=3.9808 b=4.0581 c=4.0581 alpha=90.00 beta=90.00 gamma=90.00
Atoms (fractional coordinates):
Sc: 0.5000 0.5000 0.5000
Si: 0.0000 0.5000 0.0000
Ga: 0.5000 0.0000 0.0000
Si: 0.0000 0.0000 0.5000



# 4
RbY3Os: relaxed, GGA-PBE.

## Properties
E_tot in eV per atom: -6.1943
Polymorph energy (0 for the lowest one) in meV/atom: 0
Energy relative to the elements in eV per atom: 0.124

Unit cell a=5.5760 b=5.5760 c=5.5760 alpha=90.00 beta=90.00 gamma=90.00
Atoms (fractional coordinates):
Y: 0.5000 0.0000 0.0000
Rb: 0.5000 0.5000 0.5000
Os: 0.0000 0.0000 0.0000
Y: 0.0000 0.5000 0.0000
Y: 0.0000 0.0000 0.5000



# 5
Pm4C2I: relaxed, GGA-PBE.

## Properties
E_tot in eV per atom: -6.0170
Raw formation energy in meV/atom: -446
Polymorph energy (0 for the lowest one) in meV/atom: 0

Unit cell a=3.7713 b=3.7713 c=14.5642 alpha=82.56 beta=82.56 gamma=60.00
Atoms (fractional coordinates):
C: 0.4237 0.4237 0.7290
Pm: 0.1230 0.1230 0.6311
C: 0.5763 0.5763 0.2710
Pm: 0.8770 0.8770 0.3689
I: 0.0000 0.0000 0.0000
Pm: 0.2738 0.2738 0.1785
Pm: 0.7262 0.7262 0.8215



# 6
ErHgRh: relaxed, GGA-PBE.

## Properties
E_tot in eV per atom: -4.5817
Energy relative to the elements in eV per atom: -0.510

Unit cell a=3.3323 b=5.6399 c=7.5685 alpha=67.83 beta=90.00 gamma=90.00
Atoms (fractional coordinates):
Hg: 0.5000 0.8202 0.8574
Er: 0.0000 0.3788 0.7407
Hg: 0.5000 0.1798 0.1426
Rh: 0.5000 0.2364 0.5000
Rh: 0.5000 0.7636 0.5000
Er: 0.0000 0.6212 0.2593



# 7
NpZn4Cu: relaxed, GGA-PBE.

## Properties
E_tot in eV per atom: -3.5071
Energy relative to the elements in eV per atom: 0.182

Unit cell a=5.2668 b=5.2668 c=5.2668 alpha=60.00 beta=60.00 gamma=60.00
Each line ends with the local moment (μB).
Atoms (fractional coordinates):
Cu: 0.0000 0.0000 0.0000  0.07
Zn: 0.6257 0.6257 0.6257  0.04
Np: 0.2500 0.2500 0.2500  4.05
Zn: 0.1230 0.6257 0.6257  0.04
Zn: 0.6257 0.6257 0.1230  0.04
Zn: 0.6257 0.1230 0.6257  0.04



# 8
Dy2Ho3Tm7: relaxed, GGA-PBE.

## Properties
E_tot in eV per atom: -4.4353
Polymorph energy (0 for the lowest one) in meV/atom: 0
Energy relative to the elements in eV per atom: 0.084

Unit cell a=3.4670 b=6.2254 c=17.6031 alpha=75.65 beta=90.00 gamma=90.00
Atoms (fractional coordinates):
Ho: 0.0000 0.8938 0.6573
Tm: 0.0000 0.0000 0.0000
Tm: 0.5000 0.9419 0.8331
Dy: 0.5000 0.3877 0.6740
Ho: 0.0000 0.1062 0.3427
Tm: 0.5000 0.7559 0.4989
Tm: 0.0000 0.4396 0.8351
Tm: 0.0000 0.5604 0.1649
Tm: 0.5000 0.0581 0.1669
Ho: 0.5000 0.5000 0.0000
Tm: 0.5000 0.2441 0.5011
Dy: 0.5000 0.6123 0.3260



# 9
LaPm2Dy2Ho2: relaxed, GGA-PBE.

## Properties
E_tot in eV per atom: -4.5368
Energy relative to the elements in eV per atom: 0.147

Unit cell a=3.5089 b=6.0847 c=11.8434 alpha=101.01 beta=90.00 gamma=106.76
Atoms (fractional coordinates):
Dy: 0.2953 0.5906 0.6299
Ho: 0.5919 0.1838 0.7733
La: 0.0000 0.0000 0.5000
Dy: 0.7047 0.4094 0.3701
Pm: 0.6561 0.3122 0.0746
Pm: 0.3439 0.6878 0.9254
Ho: 0.4081 0.8162 0.2267



# 10
LaTh2PdN4: relaxed, GGA-PBE.

## Properties
E_tot in eV per atom: -8.4150
Raw formation energy in meV/atom: -1132

Unit cell a=3.5914 b=6.3208 c=12.2215 alpha=90.00 beta=90.00 gamma=106.50
Atoms (fractional coordinates):
N: 0.2706 0.5411 0.1109
Th: 0.3701 0.7402 0.5567
N: 0.0000 0.0000 0.0000
Pd: 0.1490 0.2981 0.2500
Th: 0.3701 0.7402 0.9433
Pd: 0.8510 0.7019 0.7500
La: 0.8885 0.7769 0.2500
N: 0.2706 0.5411 0.3891
N: 0.7294 0.4589 0.6109
Th: 0.6299 0.2598 0.0567
N: 0.0000 0.0000 0.5000
N: 0.5405 0.0810 0.2500
N: 0.7294 0.4589 0.8891
La: 0.1115 0.2231 0.7500
N: 0.4595 0.9190 0.7500
Th: 0.6299 0.2598 0.4433



# 11
La6Co2GeBr3: relaxed, GGA-PBE.

## Properties
E_tot in eV per atom: -5.3951
Raw formation energy in meV/atom: -944

Unit cell a=4.2278 b=9.2429 c=9.9262 alpha=109.26 beta=102.30 gamma=90.00
Atoms (fractional coordinates):
Br: 0.5000 0.5000 0.0000
Co: 0.1704 0.3392 0.3408
La: 0.3356 0.8728 0.6711
La: 0.9755 0.7545 0.9509
La: 0.3164 0.4413 0.6328
La: 0.6836 0.5587 0.3672
Br: 0.8401 0.1604 0.6802
Co: 0.8296 0.6608 0.6592
La: 0.0245 0.2455 0.0491
La: 0.6644 0.1272 0.3289
Ge: 0.5000 0.0000 0.0000
Br: 0.1599 0.8396 0.3198



# 12
Cu2SiOs: relaxed, GGA-PBE.

## Properties
E_tot in eV per atom: -5.8137
Raw formation energy in meV/atom: 398

Unit cell a=3.4827 b=3.4827 c=9.5098 alpha=79.45 beta=79.45 gamma=90.00
Each line ends with the local moment (μB).
Atoms (fractional coordinates):
Si: 0.5000 0.5000 0.0000  0.01
Cu: 0.3750 0.3766 0.7500  0.01
Si: 0.2500 0.7500 0.5000  0.01
Os: 0.7500 0.2500 0.5000  0.47
Os: 0.0000 0.0000 0.0000  0.46
Cu: 0.1266 0.6250 0.2500  0.01
Cu: 0.6234 0.1250 0.2500  0.01
Cu: 0.8750 0.8734 0.7500  0.01



Number 1: magnetic moment 0.3 μB per formula unit. Number 2: magnetic moment 0.0 μB per formula unit. Number 3: magnetic moment 0.0 μB per formula unit. Number 4: magnetic moment 0.0 μB per formula unit. Number 5: magnetic moment 0.0 μB per formula unit. Number 6: magnetic moment 0.0 μB per formula unit. Number 7: magnetic moment 4.6 μB per formula unit. Number 8: magnetic moment 0.0 μB per formula unit. Number 9: magnetic moment 0.0 μB per formula unit. Number 10: magnetic moment 0.0 μB per formula unit. Number 11: magnetic moment 0.0 μB per formula unit. Number 12: magnetic moment 0.5 μB per formula unit.